one.
Material: ScB2Au
Method: DFT, PBE
State: optimized geometry

Output
symmetry	I4_1/amd, No. 141
DOS at the Fermi energy	1.479	states/eV/f.u.
size of the total moment	0.0	μB/f.u.

POSCAR file:
```
ScB2Au
1.0
3.9464 0.0000 0.0000
0.0000 3.9464 0.0000
1.9732 1.9732 7.5168
Sc B Au
2 4 2
direct
0.5000 0.5000 0.0000
0.2500 0.7500 0.5000
0.8746 0.1250 0.2500
0.8754 0.6250 0.2500
0.3750 0.1254 0.7500
0.8750 0.1246 0.7500
0.0000 0.0000 0.0000
0.7500 0.2500 0.5000
```



two.
Material: ScB2Au
Method: DFT, PBE
State: optimized geometry

Output
symmetry	Fm-3m, No. 225
DOS at the Fermi energy	0.291	states/eV/f.u.
size of the total moment	0.0	μB/f.u.

POSCAR file:
```
ScB2Au
1.0
1.4053 -0.3352 3.8904
-2.6469 -0.7630 3.1039
0.0241 -3.6965 1.8862
Sc B Au
1 2 1
direct
0.0000 0.0000 0.0000
0.2500 0.2500 0.2500
0.7500 0.7500 0.7500
0.5000 0.5000 0.5000
```



Most stable structure: one



one.
Material: B3AuSe
Method: DFT, PBE
State: optimized geometry

Output
symmetry	Pm-3m, No. 221
DOS at the Fermi energy	0.304	states/eV/f.u.
size of the total moment	0.0	μB/f.u.

POSCAR file:
```
B3AuSe
1.0
-2.0013 -0.8130 3.6581
3.0339 -2.7856 1.0408
2.1994 3.1027 1.8929
B Au Se
3 1 1
direct
0.0000 0.5000 0.0000
0.0000 0.0000 0.5000
0.5000 0.0000 0.0000
0.0000 0.0000 0.0000
0.5000 0.5000 0.5000
```



two.
Material: B3AuSe
Method: DFT, PBE
State: optimized geometry

Output
symmetry	Pm-3m, No. 221
DOS at the Fermi energy	2.035	states/eV/f.u.
size of the total moment	0.0	μB/f.u.

POSCAR file:
```
B3AuSe
1.0
4.1164 0.0000 0.0000
0.0000 4.1164 0.0000
0.0000 0.0000 4.1164
B Au Se
3 1 1
direct
0.0000 0.5000 0.0000
0.0000 0.0000 0.5000
0.5000 0.0000 0.0000
0.5000 0.5000 0.5000
0.0000 0.0000 0.0000
```



Most stable structure: one



one.
Material: SiBAu2
Method: DFT, PBE
State: optimized geometry

Output
symmetry	I-42d, No. 122
DOS at the Fermi energy	1.897	states/eV/f.u.
size of the total moment	0.0	μB/f.u.

POSCAR file:
```
SiBAu2
1.0
-4.6184 1.2940 -0.0189
-0.5162 -1.7780 4.4246
-1.0201 5.3156 4.6166
Si B Au
2 2 4
direct
0.0000 0.0000 0.0000
0.7500 0.2500 0.5000
0.5000 0.5000 0.0000
0.2500 0.7500 0.5000
0.5653 0.1250 0.2500
0.1847 0.6250 0.2500
0.3750 0.4347 0.7500
0.8750 0.8153 0.7500
```



two.
Material: SiBAu2
Method: DFT, PBE
State: optimized geometry

Output
symmetry	Fm-3m, No. 225
DOS at the Fermi energy	2.274	states/eV/f.u.
size of the total moment	0.0	μB/f.u.

POSCAR file:
```
SiBAu2
1.0
0.0000 3.1205 3.1205
3.1205 0.0000 3.1205
3.1205 3.1205 0.0000
Si B Au
1 1 2
direct
0.5000 0.5000 0.5000
0.0000 0.0000 0.0000
0.2500 0.2500 0.2500
0.7500 0.7500 0.7500
```



Most stable structure: one



one.
Material: Si3BAu
Method: DFT, PBE
State: optimized geometry

Output
symmetry	Pm-3m, No. 221
DOS at the Fermi energy	2.611	states/eV/f.u.
size of the total moment	0.0	μB/f.u.

POSCAR file:
```
Si3BAu
1.0
4.8251 0.0000 0.0000
0.0000 4.8251 0.0000
0.0000 0.0000 4.8251
Si B Au
3 1 1
direct
0.0000 0.5000 0.0000
0.0000 0.0000 0.5000
0.5000 0.0000 0.0000
0.5000 0.5000 0.5000
0.0000 0.0000 0.0000
```



two.
Material: Si3BAu
Method: DFT, PBE
State: optimized geometry

Output
symmetry	Pm-3m, No. 221
DOS at the Fermi energy	1.924	states/eV/f.u.
size of the total moment	0.0	μB/f.u.

POSCAR file:
```
Si3BAu
1.0
-1.8801 2.0912 -3.0846
1.3465 -2.8404 -2.7463
-3.4750 -2.2320 0.6048
Si B Au
3 1 1
direct
0.0000 0.5000 0.0000
0.0000 0.0000 0.5000
0.5000 0.0000 0.0000
0.0000 0.0000 0.0000
0.5000 0.5000 0.5000
```



Most stable structure: two



one.
Material: SiB3Au
Method: DFT, PBE
State: optimized geometry

Output
symmetry	Pm-3m, No. 221
DOS at the Fermi energy	3.786	states/eV/f.u.
size of the total moment	0.0	μB/f.u.

POSCAR file:
```
SiB3Au
1.0
4.2077 0.0000 0.0000
0.0000 4.2077 0.0000
0.0000 0.0000 4.2077
Si B Au
1 3 1
direct
0.5000 0.5000 0.5000
0.0000 0.5000 0.0000
0.0000 0.0000 0.5000
0.5000 0.0000 0.0000
0.0000 0.0000 0.0000
```



two.
Material: SiB3Au
Method: DFT, PBE
State: optimized geometry

Output
symmetry	Pm-3m, No. 221
DOS at the Fermi energy	2.160	states/eV/f.u.
size of the total moment	0.0	μB/f.u.

POSCAR file:
```
SiB3Au
1.0
-1.6801 1.3474 -3.4090
1.6018 -3.1032 -2.0160
-3.2972 -2.1941 0.7577
Si B Au
1 3 1
direct
0.0000 0.0000 0.0000
0.0000 0.5000 0.0000
0.0000 0.0000 0.5000
0.5000 0.0000 0.0000
0.5000 0.5000 0.5000
```



Most stable structure: two



one.
Material: SrBAu3
Method: DFT, PBE
State: optimized geometry

Output
symmetry	Pm-3m, No. 221
DOS at the Fermi energy	1.038	states/eV/f.u.
size of the total moment	0.0	μB/f.u.

POSCAR file:
```
SrBAu3
1.0
-0.6226 -2.5328 3.7951
3.8900 -2.2964 -0.8944
2.3844 3.0850 2.4501
Sr B Au
1 1 3
direct
0.5000 0.5000 0.5000
0.0000 0.0000 0.0000
0.0000 0.5000 0.0000
0.0000 0.0000 0.5000
0.5000 0.0000 0.0000
```



two.
Material: SrBAu3
Method: DFT, PBE
State: optimized geometry

Output
symmetry	Pm-3m, No. 221
DOS at the Fermi energy	0.001	states/eV/f.u.
size of the total moment	0.0	μB/f.u.

POSCAR file:
```
SrBAu3
1.0
-3.6383 -3.3787 3.0673
0.7215 -4.2994 -3.8801
4.5059 -2.0397 3.0980
Sr B Au
1 1 3
direct
0.0000 0.0000 0.0000
0.5000 0.5000 0.5000
0.0000 0.5000 0.0000
0.0000 0.0000 0.5000
0.5000 0.0000 0.0000
```



Most stable structure: one